First-principles (PBE+U) data for an optimized crystal structure of LiVP3HO10, as listed in the Alexandria database.

Cell and atoms, written as POSCAR:
```
LiVP3HO10
1.0
-2.555 -0.435 -5.880
5.527 -2.961 -1.761
-0.153 -5.873 2.435
Li V P H O
1 1 3 1 10
direct
0.194 0.173 0.496
0.653 0.652 0.003
0.189 0.545 0.111
0.554 0.565 0.499
0.554 0.192 0.898
0.239 0.217 0.969
0.331 0.650 0.953
0.653 0.973 0.963
0.592 0.702 0.658
0.302 0.595 0.359
0.294 0.184 0.846
0.186 0.298 0.173
0.572 0.309 0.639
0.700 0.595 0.346
0.969 0.657 0.030
0.651 0.327 0.055
```

**Energy above the lowest structure with this stoichiometry**: 0.024 eV per atom
**Total energy**: -111.7 eV/cell
**Space group**: P1 (1)
**Calculated volume**: 244.07 Å³/f.u.